Entry from the Alexandria database: a relaxed structure of Ga2SbN (PBE-GGA).

Calculated density in g/cm3: 6.0
Crystal system: tetragonal
Distance to the lowest polymorph of the same formula in meV per atom: 0
Uncorrected formation energy in kJ per mole of atoms: -2.8

a b c (Å): 5.430 5.430 10.298
angles (deg): 90.00 90.00 90.00
Space group I-42d (No. 122)
Unique sites:
Ga: 0.151 0.250 0.125 (multiplicity 8)
Sb: 0.000 0.000 0.500 (multiplicity 4)
N: 0.000 0.000 0.000 (multiplicity 4)